Entry 1:
The following is a DFT calculation (PBE) of an optimized crystal structure of TcPRh2.

Unit cell a=3.752 b=3.752 c=7.747 alpha=90.00 beta=90.00 gamma=90.00
Sites, in units of the cell vectors:
Tc: 0.000 0.000 0.000
Tc: 0.500 0.500 0.500
P: 0.000 0.000 0.500
P: 0.500 0.500 0.000
Rh: 0.000 0.500 0.250
Rh: 0.000 0.500 0.750
Rh: 0.500 0.000 0.250
Rh: 0.500 0.000 0.750

=====

Entry 2:
The following is a DFT calculation (PBE) of an optimized crystal structure of TmSc2Al.

Values from the calculation:
Energy relative to the lowest polymorph listed for this composition: 141 meV per atom

Unit cell a=7.162 b=7.162 c=7.162 alpha=90.00 beta=90.00 gamma=90.00
Sites, in units of the cell vectors:
Tm: 0.000 0.000 0.000
Tm: 0.000 0.500 0.500
Tm: 0.500 0.000 0.500
Tm: 0.500 0.500 0.000
Sc: 0.250 0.250 0.250
Sc: 0.250 0.250 0.750
Sc: 0.250 0.750 0.250
Sc: 0.250 0.750 0.750
Sc: 0.750 0.250 0.250
Sc: 0.750 0.250 0.750
Sc: 0.750 0.750 0.250
Sc: 0.750 0.750 0.750
Al: 0.000 0.000 0.500
Al: 0.000 0.500 0.000
Al: 0.500 0.000 0.000
Al: 0.500 0.500 0.500

=====

Entry 3:
The following is a DFT calculation (PBE) of an optimized crystal structure of ZrHCl2.

Unit cell a=3.574 b=3.574 c=29.549 alpha=90.00 beta=90.00 gamma=120.00
Sites, in units of the cell vectors:
Zr: 0.000 0.000 0.000
Zr: 0.333 0.667 0.667
Zr: 0.667 0.333 0.333
H: 0.000 0.000 0.500
H: 0.333 0.667 0.167
H: 0.667 0.333 0.833
Cl: 0.000 0.000 0.079
Cl: 0.000 0.000 0.921
Cl: 0.333 0.667 0.587
Cl: 0.333 0.667 0.746
Cl: 0.667 0.333 0.254
Cl: 0.667 0.333 0.413

=====

In order of appearance, calculated density = 10.197 5.168 2.486 g/cm3.
In order of appearance, DFT total energy = -7.710 -5.309 -4.037 eV/atom.